Entry from the Alexandria database: crystalline Li3Mg2Ga4 at its relaxed geometry (GGA-PBE).

Properties
ΔH_f (0 K), eV/atom: -0.20
D(E_F), states/eV/atom: 0.324
M_tot, μB per atom: 0.00
SG: Cmce (64)

Structure (POSCAR):
```
Li3Mg2Ga4
1.0
-3.960 2.778 -2.584
-0.723 -5.291 -4.581
-3.872 -4.997 6.382
Mg Li Ga
4 6 8
Cartesian
-3.606 -3.884 -4.470
-7.119 -3.627 1.191
-1.436 -3.882 -1.974
-4.949 -3.625 3.687
-6.029 -1.013 -0.579
-4.049 -2.403 0.712
-2.342 -1.256 -3.582
-4.506 -5.107 -1.495
-2.526 -6.496 -0.204
0.000 0.000 0.000
-2.550 -6.338 -2.908
-4.103 0.174 -2.255
-4.363 -5.034 1.275
-6.432 -6.294 0.180
-4.452 -7.683 1.472
-2.123 -1.215 -0.963
-4.192 -2.476 -2.058
-6.005 -1.171 2.125
```